Density functional theory data (GGA-PBEsol) for a relaxed structure of KSiRu2.

Output
Magnetization   0.00 μB per atom
Uncorrected formation energy   1.088 eV per atom

a b c (Å): 5.185 5.185 2.513
angles (deg): 90.00 90.00 110.59
Sites, in units of the cell vectors:
K (0.000, 0.000, 0.000)
Si (0.500, 0.500, 0.000)
Ru (0.000, 0.500, 0.500)
Ru (0.500, 0.000, 0.500)

Density functional theory data (GGA-PBEsol) for a relaxed structure of KSi2Ru.

Output
Magnetization   0.00 μB per atom
Uncorrected formation energy   0.971 eV per atom

a b c (Å): 3.185 4.398 4.790
angles (deg): 90.00 90.00 90.00
Sites, in units of the cell vectors:
K (0.000, 0.000, 0.000)
Si (0.000, 0.500, 0.500)
Si (0.500, 0.500, 0.000)
Ru (0.500, 0.000, 0.500)